## Fe3W (GGA-PBEsol)

Data for a relaxed Fe3W crystal.

Lattice parameters (Å, degrees): 2.9842 3.9938 4.7306 114.97 108.39 90.00
Each line ends with the local moment (μB).
Sites, in units of the cell vectors:
Fe: 0.7532 0.7532 0.5065  2.07
Fe: 0.5000 0.0000 0.0000  1.79
Fe: 0.2468 0.2468 0.4935  2.07
W: 0.0000 0.5000 0.0000  -0.39

Summary:
Electronic total energy in eV for the cell shown: -40.44
Energy of formation in meV/atom: 64